The following is a DFT calculation (PBE) of crystalline CaIn2Se4 at its relaxed geometry.

Unit cell a=7.9576 b=7.9576 c=7.9576 alpha=138.95 beta=138.95 gamma=59.44
Atoms (fractional coordinates):
Ca 0.0000 0.0000 0.0000
In 0.3974 0.3974 0.0000
In 0.6026 0.6026 0.0000
Se 0.0000 0.5000 0.5000
Se 0.2187 0.2187 0.0000
Se 0.5000 0.0000 0.5000
Se 0.7813 0.7813 0.0000

Computed properties:
Magnetic moment (μB/f.u.): 1.072
Formation energy without anion corrections (meV per atom): -421
Raw total energy (eV/atom): -3.480
D(E_F) (states/eV per atom): 0.723